--- a ---
Ce4Ge2C | PBE | optimized geometry

Cell: 6.8566 6.2469 8.6524 Å, 90.00 108.68 90.00°
Closest atoms and distances in Å follow each position.
Space group P2_1/m (No. 11)
Asymmetric unit:
Ce1 0.9998 0.0188 0.2463 [4 per cell]  1 C 2.32
Ce2 0.4203 0.7500 0.1193 [2 per cell]  1 C 2.33
Ce3 0.4229 0.7500 0.5900 [2 per cell]  1 C 2.33
Ge1 0.2305 0.2500 0.5637 [2 per cell]  6 Ce 3.01-3.11
Ge2 0.2562 0.2500 0.0586 [2 per cell]  8 Ce 3.08-3.30
C1 0.2470 0.7500 0.3111 [2 per cell]  4 Ce 2.32-2.33

Computed properties:
Magnetization (μB per formula unit): 3.48


--- b ---
Ce4Ge2C | PBE | optimized geometry

Cell: 4.7954 4.7954 15.3733 Å, 90.00 90.00 90.00°
Closest atoms and distances in Å follow each position.
Space group I4/mmm (No. 139)
Asymmetric unit:
Ce1 0.0000 0.0000 0.1682 [4 per cell]  1 C 2.59
Ce2 0.0000 0.5000 0.0000 [4 per cell]  2 C 2.40
Ge1 0.0000 0.0000 0.3652 [4 per cell]  5 Ce 3.03-3.17
C1 0.0000 0.0000 0.0000 [2 per cell]  6 Ce 2.40-2.59

Computed properties:
Magnetization (μB per formula unit): 2.16


Most stable structure, least stable structure: b, a.


--- a ---
CeHfC2 | PBE | optimized geometry

Cell: 3.4326 3.4326 17.6884 Å, 90.00 90.00 120.00°
Closest atoms and distances in Å follow each position.
Space group R3m (No. 160, hexagonal axes)
Asymmetric unit:
Ce1 0.0000 0.0000 0.0000 [3 per cell]  6 C 2.45-2.68
Hf1 0.0000 0.0000 0.8272 [3 per cell]  6 C 2.34-2.42
C1 0.0000 0.0000 0.4150 [3 per cell]  3 Hf 2.42, 3 Ce 2.45, 1 C 2.64
C2 0.0000 0.0000 0.5643 [3 per cell]  3 Hf 2.34

Computed properties:
Magnetization (μB per formula unit): 0.00


--- b ---
CeHfC2 | PBE | optimized geometry

Cell: 3.4414 3.4414 17.3925 Å, 90.00 90.00 120.00°
Closest atoms and distances in Å follow each position.
Space group R-3m (No. 166, hexagonal axes)
Asymmetric unit:
Ce1 0.0000 0.0000 0.0000 [3 per cell]  6 C 2.55
Hf1 0.0000 0.0000 0.5000 [3 per cell]  6 C 2.38
C1 0.0000 0.0000 0.2416 [6 per cell]  3 Hf 2.38, 3 Ce 2.55

Computed properties:
Magnetization (μB per formula unit): 0.00


Most stable structure, least stable structure: b, a.


--- a ---
CeHfC | PBE | optimized geometry

Cell: 3.3537 3.3537 6.0558 Å, 90.00 90.00 120.00°
Closest atoms and distances in Å follow each position.
Space group P3m1 (No. 156)
Asymmetric unit:
Ce1 0.0000 0.0000 0.0000 [1 per cell]  3 C 2.51
Hf1 0.3333 0.6667 0.5511 [1 per cell]  3 C 2.23
C1 0.6667 0.3333 0.7354 [1 per cell]  3 Hf 2.23

Computed properties:
Magnetization (μB per formula unit): 0.07


--- b ---
CeHfC | PBE | optimized geometry

Cell: 3.2231 3.2231 10.9045 Å, 90.00 90.00 90.00°
Closest atoms and distances in Å follow each position.
Space group I4mm (No. 107)
Asymmetric unit:
Ce1 0.0000 0.0000 0.0000 [2 per cell]  1 C 2.65
Hf1 0.0000 0.0000 0.7260 [2 per cell]  4 C 2.29
C1 0.0000 0.0000 0.2434 [2 per cell]  4 Hf 2.29

Computed properties:
Magnetization (μB per formula unit): 1.04


Most stable structure, least stable structure: a, b.


--- a ---
Ce4HgC | PBE | optimized geometry

Cell: 6.2841 6.4936 7.7835 Å, 74.35 73.98 73.02°
Closest atoms and distances in Å follow each position.
Space group P-1 (No. 2)
Asymmetric unit:
Ce1 0.0115 0.0388 0.2713 [2 per cell]  2 C 2.54-2.63, 1 Ce 2.83
Ce2 0.2369 0.4853 0.5292 [2 per cell]  1 C 2.44
Ce3 0.4199 0.2327 0.8348 [2 per cell]  1 C 2.47, 1 Ce 2.76
Ce4 0.4592 0.8496 0.7275 [2 per cell]  2 C 2.53-2.61, 2 Ce 2.76-2.83
Hg1 0.1543 0.5794 0.1048 [2 per cell]  9 Ce 3.23-3.47, 1 Hg 3.36
C1 0.3185 0.8484 0.4533 [2 per cell]  6 Ce 2.44-2.63

Computed properties:
Magnetization (μB per formula unit): 1.39


--- b ---
Ce4HgC | PBE | optimized geometry

Cell: 8.1994 12.8420 6.4535 Å, 90.00 118.44 90.00°
Closest atoms and distances in Å follow each position.
Space group C2/c (No. 15)
Asymmetric unit:
Ce1 0.1379 0.2210 0.1962 [8 per cell]  1 C 2.49, 1 Ce 2.66
Ce2 0.2091 0.0654 0.6942 [8 per cell]  2 C 2.48-2.55
Hg1 0.0000 0.3845 0.7500 [4 per cell]  8 Ce 3.13-3.30
C1 0.0000 0.0571 0.2500 [4 per cell]  6 Ce 2.48-2.55

Computed properties:
Magnetization (μB per formula unit): 0.83


Most stable structure, least stable structure: b, a.


--- a ---
Ce4C2I | PBE | optimized geometry

Cell: 3.6734 3.6734 42.7306 Å, 90.00 90.00 120.00°
Closest atoms and distances in Å follow each position.
Space group R-3m (No. 166, hexagonal axes)
Asymmetric unit:
Ce1 0.0000 0.0000 0.1259 [6 per cell]  3 C 2.53
Ce2 0.0000 0.0000 0.2724 [6 per cell]  3 C 2.54
C1 0.0000 0.0000 0.4271 [6 per cell]  6 Ce 2.53-2.54
I1 0.0000 0.0000 0.0000 [3 per cell]  6 Ce 3.36, 6 I 3.67

Computed properties:
Magnetization (μB per formula unit): 3.24


--- b ---
Ce4C2I | PBE | optimized geometry

Cell: 7.6896 9.2611 9.9568 Å, 90.00 90.00 90.00°
Closest atoms and distances in Å follow each position.
Space group I2_12_12_1 (No. 24)
Asymmetric unit:
Ce1 0.0085 0.0727 0.0036 [8 per cell]  3 C 2.51-2.62
Ce2 0.1848 0.2713 0.7469 [8 per cell]  2 C 2.48-2.57
C1 0.0179 0.5000 0.7500 [4 per cell]  4 Ce 2.48-2.62
C2 0.2500 0.2626 0.0000 [4 per cell]  6 Ce 2.51-2.57
I1 0.0000 0.2500 0.4526 [4 per cell]  6 Ce 3.02-3.26

Computed properties:
Magnetization (μB per formula unit): 4.05


Most stable structure, least stable structure: a, b.


--- a ---
Ce4In2C | PBE | optimized geometry

Cell: 4.9698 4.9698 15.9553 Å, 90.00 90.00 90.00°
Closest atoms and distances in Å follow each position.
Space group I4/mmm (No. 139)
Asymmetric unit:
Ce1 0.0000 0.0000 0.1592 [4 per cell]  1 C 2.54
Ce2 0.0000 0.5000 0.0000 [4 per cell]  2 C 2.48
In1 0.0000 0.0000 0.3630 [4 per cell]  9 Ce 3.25-3.53
C1 0.0000 0.0000 0.0000 [2 per cell]  6 Ce 2.48-2.54

Computed properties:
Magnetization (μB per formula unit): 2.75


--- b ---
Ce4In2C | PBE | optimized geometry

Cell: 5.6331 21.6319 3.2794 Å, 90.00 90.00 90.00°
Closest atoms and distances in Å follow each position.
Space group Cmmm (No. 65)
Asymmetric unit:
Ce1 0.0000 0.0782 0.0000 [4 per cell]  2 C 2.36
Ce2 0.0000 0.1925 0.5000 [4 per cell]  4 Ce 2.97-3.28, 4 In 3.31
In1 0.0000 0.3330 0.0000 [4 per cell]  2 In 3.28, 8 Ce 3.31-3.45
C1 0.0000 0.0000 0.5000 [2 per cell]  4 Ce 2.36

Computed properties:
Magnetization (μB per formula unit): 0.88


Most stable structure, least stable structure: a, b.